An optimized crystal structure of CaGa2P2, computed with PBEsol.

abc: 3.8153 3.8153 16.2724
angles: 90.00 90.00 120.00
Positions (direct):
Ca 0.0000 0.0000 0.0000
Ca 0.0000 0.0000 0.5000
Ga 0.3333 0.6667 0.1752
Ga 0.6667 0.3333 0.8248
Ga 0.6667 0.3333 0.6752
Ga 0.3333 0.6667 0.3248
P 0.3333 0.6667 0.6147
P 0.6667 0.3333 0.3853
P 0.6667 0.3333 0.1147
P 0.3333 0.6667 0.8853

Calculated values
calculated total energy = -4.7634 eV per atom
density of states at the Fermi level = 0.015 states/eV/atom

=====

An optimized crystal structure of BaCu3O4, computed with PBEsol.

abc: 3.9337 5.4738 6.1246
angles: 116.54 90.00 90.00
Positions (direct):
Ba 0.5000 0.0000 0.0000
Cu 0.0000 0.5000 0.0000
Cu 0.0000 0.2466 0.4931
Cu 0.0000 0.7534 0.5069
O 0.0000 0.8724 0.2583
O 0.0000 0.1276 0.7417
O 0.0000 0.6141 0.7417
O 0.0000 0.3859 0.2583

Calculated values
calculated total energy = -5.6133 eV per atom
density of states at the Fermi level = 0.407 states/eV/atom
energy relative to the elements, uncorrected = -1.0947 eV/atom

=====

An optimized crystal structure of LaMo, computed with PBEsol.

abc: 3.2486 3.2486 8.9143
angles: 90.00 90.00 90.00
Positions (direct):
La 0.5000 0.0000 0.1871
La 0.0000 0.5000 0.8129
Mo 0.5000 0.0000 0.5737
Mo 0.0000 0.5000 0.4263

Calculated values
calculated total energy = -8.2944 eV per atom
density of states at the Fermi level = 1.307 states/eV/atom

=====

An optimized crystal structure of Sr2FeW, computed with PBEsol.

abc: 2.9397 2.9397 10.0761
angles: 90.00 90.00 89.96
Each line ends with the local moment (μB).
Positions (direct):
Fe 0.5000 0.5000 0.0000  2.63
Sr 0.0000 0.0000 0.2410  -0.07
Sr 0.0000 0.0000 0.7590  -0.07
W 0.5000 0.5000 0.5000  0.07

Calculated values
calculated total energy = -5.3460 eV per atom
density of states at the Fermi level = 0.940 states/eV/atom

=====

An optimized crystal structure of LiTe2Pt, computed with PBEsol.

abc: 3.8156 4.3698 6.4364
angles: 109.84 107.24 90.00
Positions (direct):
Li 0.5000 0.0000 0.0000
Pt 0.0000 0.5000 0.0000
Te 0.6562 0.6562 0.3123
Te 0.3438 0.3438 0.6877

Calculated values
calculated total energy = -4.4456 eV per atom
density of states at the Fermi level = 0.412 states/eV/atom
energy relative to the elements, uncorrected = -0.4500 eV/atom

=====

An optimized crystal structure of KSb2As, computed with PBEsol.

abc: 4.5055 4.5055 6.0075
angles: 112.02 112.02 90.00
Positions (direct):
Sb 0.7500 0.2500 0.5000
Sb 0.2500 0.7500 0.5000
As 0.5000 0.5000 0.0000
K 0.0000 0.0000 0.0000

Calculated values
calculated total energy = -3.7282 eV per atom
density of states at the Fermi level = 0.637 states/eV/atom
energy relative to the elements, uncorrected = 0.1103 eV/atom

=====

An optimized crystal structure of ZrCuGe2, computed with PBEsol.

abc: 3.7689 3.7689 9.0513
angles: 90.00 90.00 90.00
Positions (direct):
Ge 0.0000 0.5000 0.1739
Ge 0.5000 0.0000 0.8261
Ge 0.5000 0.5000 0.5000
Ge 0.0000 0.0000 0.5000
Cu 0.0000 0.0000 0.0000
Cu 0.5000 0.5000 0.0000
Zr 0.5000 0.0000 0.2616
Zr 0.0000 0.5000 0.7384

Calculated values
calculated total energy = -6.3844 eV per atom
density of states at the Fermi level = 0.478 states/eV/atom

=====

An optimized crystal structure of BiP2PbCl, computed with PBEsol.

abc: 5.0788 5.1512 5.1512
angles: 90.00 90.00 90.00
Positions (direct):
Pb 0.0000 0.0000 0.0000
P 0.0000 0.0000 0.5000
P 0.0000 0.5000 0.0000
Bi 0.5000 0.5000 0.5000
Cl 0.5000 0.0000 0.0000

Calculated values
calculated total energy = -3.6840 eV per atom
density of states at the Fermi level = 0.601 states/eV/atom
energy relative to the elements, uncorrected = 0.6910 eV/atom

=====

An optimized crystal structure of Tl2NiSb, computed with PBEsol.

abc: 4.1060 4.1060 7.1415
angles: 73.29 73.29 60.00
Positions (direct):
Ni 0.5143 0.5143 0.4571
Sb 0.2177 0.2177 0.3470
Tl 0.9939 0.9939 0.0182
Tl 0.7741 0.7741 0.6777

Calculated values
calculated total energy = -3.9548 eV per atom
density of states at the Fermi level = 0.528 states/eV/atom
energy relative to the elements, uncorrected = 0.0390 eV/atom

=====

An optimized crystal structure of Ca2SCl, computed with PBEsol.

abc: 6.2576 6.2576 7.6965
angles: 113.99 113.99 90.00
Each line ends with the local moment (μB).
Positions (direct):
Ca 0.3919 0.8750 0.2500  0.10
Ca 0.8581 0.3750 0.2500  0.10
Ca 0.1250 0.1419 0.7500  0.10
Ca 0.6250 0.6081 0.7500  0.10
S 0.7500 0.2500 0.5000  -0.01
S 0.5000 0.5000 0.0000  -0.01
Cl 0.2500 0.7500 0.5000  0.00
Cl 0.0000 0.0000 0.0000  0.00

Calculated values
calculated total energy = -4.3194 eV per atom
density of states at the Fermi level = 0.460 states/eV/atom
energy relative to the elements, uncorrected = -1.6548 eV/atom

=====

An optimized crystal structure of Zn9Ga3Mo2, computed with PBEsol.

abc: 5.3893 5.3893 8.6420
angles: 90.00 90.00 120.00
Positions (direct):
Zn 0.0000 0.5000 0.0000
Zn 0.5000 0.0000 0.0000
Zn 0.5000 0.5000 0.0000
Zn 0.6803 0.8402 0.7588
Zn 0.1598 0.3197 0.7588
Zn 0.1598 0.8402 0.7588
Zn 0.3197 0.1598 0.2412
Zn 0.8402 0.6803 0.2412
Zn 0.8402 0.1598 0.2412
Ga 0.0000 0.5000 0.5000
Ga 0.5000 0.0000 0.5000
Ga 0.5000 0.5000 0.5000
Mo 0.3333 0.6667 0.2599
Mo 0.6667 0.3333 0.7401

Calculated values
calculated total energy = -3.5257 eV per atom
density of states at the Fermi level = 0.250 states/eV/atom

=====

An optimized crystal structure of BiH3Se, computed with PBEsol.

abc: 3.8832 3.8832 3.8832
angles: 90.00 90.00 90.00
Positions (direct):
H 0.0000 0.5000 0.0000
H 0.0000 0.0000 0.5000
H 0.5000 0.0000 0.0000
Bi 0.5000 0.5000 0.5000
Se 0.0000 0.0000 0.0000

Calculated values
calculated total energy = -2.9451 eV per atom
density of states at the Fermi level = 0.336 states/eV/atom

=====

An optimized crystal structure of Be2AlRe, computed with PBEsol.

abc: 2.5999 2.5999 7.5660
angles: 90.00 90.00 108.71
Positions (direct):
Re 0.0000 0.0000 0.5205
Al 0.5000 0.5000 0.2357
Be 0.0000 0.0000 0.9795
Be 0.5000 0.5000 0.7643

Calculated values
calculated total energy = -6.0711 eV per atom
density of states at the Fermi level = 0.435 states/eV/atom